(i)
This record from Alexandria describes an optimized crystal structure of PmBrF2. The functional is GGA-PBE.

Cell lengths 3.918, 5.756, 7.155 Å; angles 90.00, 90.00, 109.90 degrees
Atoms (fractional coordinates):
Pm  0.240  0.479  0.250
Pm  0.760  0.521  0.750
Br  0.956  0.912  0.250
Br  0.044  0.088  0.750
F  0.688  0.377  0.431
F  0.312  0.623  0.569
F  0.688  0.377  0.069
F  0.312  0.623  0.931

Computed properties:
As for the theoretical density: 5.8 g/cm³. Its space-group type is Cmcm, No. 63.



(ii)
This record from Alexandria describes an optimized crystal structure of PmBrF2. The functional is GGA-PBE.

Cell lengths 4.856, 4.856, 4.413 Å; angles 56.62, 56.62, 60.00 degrees
Atoms (fractional coordinates):
F  0.223  0.223  0.330
F  0.777  0.777  0.670
Br  0.500  0.500  0.500
Pm  0.000  0.000  0.000

Computed properties:
As for the theoretical density: 6.3 g/cm³. Its space-group type is R-3m, No. 166.



Quick one: least stable of them? (ii)



(i)
This record from Alexandria describes an optimized crystal structure of PtBrF2. The functional is GGA-PBE.

Cell lengths 8.808, 8.808, 8.808 Å; angles 19.17, 19.17, 19.17 degrees
Atoms (fractional coordinates):
F  0.926  0.926  0.926
F  0.074  0.074  0.074
Pt  0.500  0.500  0.500
Br  0.000  0.000  0.000

Computed properties:
As for the theoretical density: 8.1 g/cm³. Its space-group type is R-3m, No. 166.



(ii)
This record from Alexandria describes an optimized crystal structure of PtBrF2. The functional is GGA-PBE.

Cell lengths 10.210, 10.210, 10.210 Å; angles 16.07, 16.07, 16.07 degrees
Atoms (fractional coordinates):
F  0.937  0.937  0.937
F  0.063  0.063  0.063
Pt  0.000  0.000  0.000
Br  0.500  0.500  0.500

Computed properties:
As for the theoretical density: 7.3 g/cm³. Its space-group type is R-3m, No. 166.



(iii)
This record from Alexandria describes an optimized crystal structure of PtBrF2. The functional is GGA-PBE.

Cell lengths 4.323, 4.323, 4.323 Å; angles 60.00, 60.00, 60.00 degrees
Atoms (fractional coordinates):
Br  0.000  0.000  0.000
F  0.750  0.750  0.750
F  0.250  0.250  0.250
Pt  0.500  0.500  0.500

Computed properties:
As for the theoretical density: 9.1 g/cm³. Its space-group type is Fm-3m, No. 225.



(iv)
This record from Alexandria describes an optimized crystal structure of PtBrF2. The functional is GGA-PBE.

Cell lengths 3.906, 3.906, 8.447 Å; angles 76.63, 76.63, 90.00 degrees
Atoms (fractional coordinates):
Pt  0.000  0.000  0.000
Pt  0.750  0.250  0.500
Br  0.250  0.750  0.500
Br  0.500  0.500  0.000
F  0.041  0.625  0.250
F  0.875  0.959  0.750
F  0.709  0.125  0.250
F  0.375  0.291  0.750

Computed properties:
As for the theoretical density: 8.5 g/cm³. Its space-group type is I-42d, No. 122.



Quick one: least stable of them? (iii)



(i)
This record from Alexandria describes an optimized crystal structure of Pt3BrF. The functional is GGA-PBE.

Cell lengths 4.510, 4.510, 4.510 Å; angles 90.00, 90.00, 90.00 degrees
Atoms (fractional coordinates):
Pt  0.000  0.500  0.000
Pt  0.500  0.000  0.000
Pt  0.000  0.000  0.500
Br  0.500  0.500  0.500
F  0.000  0.000  0.000

Computed properties:
As for the theoretical density: 12.4 g/cm³. Its space-group type is Pm-3m, No. 221.



(ii)
This record from Alexandria describes an optimized crystal structure of Pt3BrF. The functional is GGA-PBE.

Cell lengths 4.746, 4.746, 4.746 Å; angles 90.00, 90.00, 90.00 degrees
Atoms (fractional coordinates):
Pt  0.500  0.000  0.000
Pt  0.000  0.000  0.500
Pt  0.000  0.500  0.000
Br  0.000  0.000  0.000
F  0.500  0.500  0.500

Computed properties:
As for the theoretical density: 10.6 g/cm³. Its space-group type is Pm-3m, No. 221.



Quick one: least stable of them? (ii)



(i)
This record from Alexandria describes an optimized crystal structure of PtBr2F. The functional is GGA-PBE.

Cell lengths 6.184, 6.184, 7.056 Å; angles 64.01, 64.01, 90.00 degrees
Atoms (fractional coordinates):
Pt  0.000  0.000  0.000
Pt  0.750  0.250  0.500
Br  0.668  0.125  0.250
Br  0.082  0.625  0.250
Br  0.875  0.918  0.750
Br  0.375  0.332  0.750
F  0.500  0.500  0.000
F  0.250  0.750  0.500

Computed properties:
As for the theoretical density: 5.9 g/cm³. Its space-group type is I-42d, No. 122.



(ii)
This record from Alexandria describes an optimized crystal structure of PtBr2F. The functional is GGA-PBE.

Cell lengths 9.098, 9.098, 9.098 Å; angles 19.45, 19.45, 19.45 degrees
Atoms (fractional coordinates):
Br  0.090  0.090  0.090
Br  0.910  0.910  0.910
Pt  0.000  0.000  0.000
F  0.500  0.500  0.500

Computed properties:
As for the theoretical density: 8.5 g/cm³. Its space-group type is R-3m, No. 166.



(iii)
This record from Alexandria describes an optimized crystal structure of PtBr2F. The functional is GGA-PBE.

Cell lengths 4.587, 4.587, 4.587 Å; angles 60.00, 60.00, 60.00 degrees
Atoms (fractional coordinates):
Br  0.750  0.750  0.750
Br  0.250  0.250  0.250
F  0.000  0.000  0.000
Pt  0.500  0.500  0.500

Computed properties:
As for the theoretical density: 9.1 g/cm³. Its space-group type is Fm-3m, No. 225.



Quick one: least stable of them? (iii)